Entry 1:
Compound: AcPm2US8
Source: the Alexandria database
Functional: PBE
Structure: relaxed

Structure (POSCAR):
```
AcPm2US8
1.0
-2.1373 -1.8215 -3.9151
-4.8491 -2.5006 3.8252
-4.8458 7.8543 -1.0090
Ac Pm U S
1 2 1 8
Direct
0.0000 0.0000 0.5000
0.5000 0.5000 0.7564
0.5000 0.5000 0.2436
0.0000 0.0000 0.0000
0.0005 0.7499 0.2200
0.5002 0.7796 0.0000
0.9995 0.2501 0.2200
0.9995 0.2501 0.7800
0.4998 0.2204 0.0000
0.0005 0.7499 0.7800
0.4995 0.7354 0.5000
0.5005 0.2646 0.5000
```

Output
The volume comes out at 24.838 Å³/atom. Its energy relative to the elements, uncorrected is -1583 meV/atom. Its size of the total moment is 0.0 μB/f.u.

***

Entry 2:
Compound: Ti4SbS8
Source: the Alexandria database
Functional: PBE
Structure: relaxed

Structure (POSCAR):
```
Ti4SbS8
1.0
7.2988 0.0000 0.0000
3.6494 6.3210 0.0000
3.6494 2.1070 5.9595
Ti Sb S
4 1 8
Direct
0.9181 0.3606 0.3606
0.3606 0.9181 0.3606
0.3606 0.3606 0.9181
0.3606 0.3606 0.3606
0.7500 0.7500 0.7500
0.6135 0.1288 0.1288
0.1288 0.6135 0.1288
0.1288 0.1288 0.6135
0.1288 0.1288 0.1288
0.1795 0.6068 0.6068
0.6068 0.1795 0.6068
0.6068 0.6068 0.1795
0.6068 0.6068 0.6068
```

Output
The volume comes out at 21.150 Å³/atom. Its energy relative to the elements, uncorrected is -1086 meV/atom. Its size of the total moment is 3.0 μB/f.u.

***

Entry 3:
Compound: SrRhSeN2
Source: the Alexandria database
Functional: PBE
Structure: relaxed

Structure (POSCAR):
```
SrRhSeN2
1.0
4.0415 0.0000 0.0000
0.0000 4.0415 0.0000
0.0000 0.0000 5.3082
Sr Rh Se N
1 1 1 2
Direct
0.5000 0.5000 0.5000
0.0000 0.0000 0.0000
0.0000 0.0000 0.5000
0.0000 0.5000 0.0000
0.5000 0.0000 0.0000
```

Output
The volume comes out at 17.340 Å³/atom. Its energy relative to the elements, uncorrected is 270 meV/atom. The energy relative to the lowest polymorph listed for this composition is 0.000 eV per formula unit. Its size of the total moment is 0.8 μB/f.u.

***

Entry 4:
Compound: Be2V2Ni
Source: the Alexandria database
Functional: PBE
Structure: relaxed

Structure (POSCAR):
```
Be2V2Ni
1.0
3.2985 0.0000 0.0000
0.0000 3.2985 0.0000
1.6493 1.6493 5.3224
Ni V Be
1 2 2
Direct
0.0000 0.0000 0.0000
0.7500 0.2500 0.5000
0.2500 0.7500 0.5000
0.4107 0.4107 0.1787
0.5893 0.5893 0.8213
```

Output
The volume comes out at 11.582 Å³/atom. The energy relative to the lowest polymorph listed for this composition is 2.288 eV per formula unit. Its size of the total moment is 0.0 μB/f.u. The formation enthalpy at 0 K is 314 meV/atom.

***

Entry 5:
Compound: BeCr2Ag
Source: the Alexandria database
Functional: PBE
Structure: relaxed

Structure (POSCAR):
```
BeCr2Ag
1.0
2.5467 0.0212 0.0000
-0.0242 2.5470 0.0000
0.0000 0.0000 7.5276
Cr Ag Be
2 1 1
Direct
0.0000 0.0000 0.9544
0.0000 0.0000 0.5456
0.5000 0.5000 0.2500
0.5000 0.5000 0.7500
```

Output
The volume comes out at 12.208 Å³/atom. Its size of the total moment is 0.0 μB/f.u. The formation enthalpy at 0 K is 401 meV/atom.

***

Entry 6:
Compound: BaAs
Source: the Alexandria database
Functional: PBE
Structure: relaxed

Structure (POSCAR):
```
BaAs
1.0
8.9878 0.0182 0.0110
7.7361 4.5752 0.0110
7.7361 2.1248 4.0519
As Ba
2 2
Direct
0.3323 0.3323 0.3323
0.6677 0.6677 0.6677
0.0817 0.0817 0.0817
0.9183 0.9183 0.9183
```

Output
The volume comes out at 41.406 Å³/atom. Its size of the total moment is 0.0 μB/f.u. The formation enthalpy at 0 K is -611 meV/atom.

***

Entry 7:
Compound: MgBi2Cl8
Source: the Alexandria database
Functional: PBE
Structure: relaxed

Structure (POSCAR):
```
MgBi2Cl8
1.0
6.8077 0.0000 0.0000
-3.4039 7.1512 -0.9661
0.0000 -0.2002 8.0260
Mg Bi Cl
1 2 8
Direct
0.0000 0.0000 0.0000
0.8621 0.7241 0.6128
0.1379 0.2759 0.3872
0.8727 0.2394 0.1417
0.3667 0.2394 0.1417
0.1273 0.7606 0.8583
0.3186 0.6373 0.4387
0.6333 0.7606 0.8583
0.9370 0.8741 0.2748
0.0630 0.1259 0.7252
0.6814 0.3627 0.5613
```

Output
The volume comes out at 35.402 Å³/atom. Its energy relative to the elements, uncorrected is -1135 meV/atom. The energy relative to the lowest polymorph listed for this composition is 0.000 eV per formula unit. Its size of the total moment is 0.0 μB/f.u.

***

Entry 8:
Compound: Dy6AgIr3
Source: the Alexandria database
Functional: PBE
Structure: relaxed

Structure (POSCAR):
```
Dy6AgIr3
1.0
6.6910 0.0000 0.0000
0.0000 8.9651 -0.4308
0.0000 -2.4205 8.6429
Dy Ag Ir
12 2 6
Direct
0.1537 0.7153 0.6529
0.6537 0.6529 0.7153
0.2104 0.4762 0.8883
0.7104 0.8883 0.4762
0.2579 0.9707 0.0293
0.6390 0.2542 0.7458
0.1390 0.7458 0.2542
0.7579 0.0293 0.9707
0.2104 0.1117 0.5238
0.7104 0.5238 0.1117
0.1537 0.3471 0.2847
0.6537 0.2847 0.3471
0.0804 0.1584 0.8416
0.5804 0.8416 0.1584
0.4504 0.9625 0.7316
0.9504 0.7316 0.9625
0.3792 0.4096 0.5904
0.8792 0.5904 0.4096
0.9504 0.0375 0.2684
0.4504 0.2684 0.0375
```

Output
The volume comes out at 25.574 Å³/atom. Its size of the total moment is 0.0 μB/f.u. The formation enthalpy at 0 K is -583 meV/atom.